[1]
VASP calculation (PBE) on an optimized crystal structure of NdDy2Sc6.

Lattice parameters (Å, degrees): 7.8148 7.8148 9.6900 90.00 90.00 90.00
Last column: nearest neighbours and their distance in Å.
Space group P4_2/mnm (No. 136)
One atom of each set of equivalent atoms:
Nd1 0.0000 0.0000 0.0000 (multiplicity 2)  6 Sc 2.91-3.09, 2 Dy 3.22
Dy1 0.0000 0.0000 0.3321 (multiplicity 4)  6 Sc 2.88-3.10, 1 Nd 3.22
Sc1 0.2368 0.2368 0.5000 (multiplicity 4)  1 Nd 2.91, 2 Dy 3.08, 2 Sc 3.25
Sc2 0.2392 0.2392 0.1648 (multiplicity 8)  2 Dy 2.88-3.10, 1 Nd 3.09, 1 Sc 3.19

Output
Its uncorrected energy is -4.91 eV/atom. For the formation energy, the calculation gives 7.738 eV/f.u. For the density, the calculation gives 4.1 g/cm3.

=====

[2]
VASP calculation (PBE) on an optimized crystal structure of HfTl2SeI.

Lattice parameters (Å, degrees): 6.0332 6.0332 4.9902 90.00 90.00 90.00
Last column: nearest neighbours and their distance in Å.
Space group P4/mmm (No. 123)
One atom of each set of equivalent atoms:
Hf1 0.0000 0.0000 0.0000 (multiplicity 1)  2 Se 2.50
Tl1 0.0000 0.5000 0.0000 (multiplicity 2)  2 Hf 3.02
Se1 0.0000 0.0000 0.5000 (multiplicity 1)  2 Hf 2.50
I1 0.5000 0.5000 0.5000 (multiplicity 1)  8 Tl 3.91, 4 Se 4.27

Output
Its uncorrected energy is -4.13 eV/atom. For the density, the calculation gives 7.3 g/cm3.

=====

[3]
VASP calculation (PBE) on an optimized crystal structure of Li3Cd2AuO6.

Lattice parameters (Å, degrees): 5.5906 10.0376 5.2830 90.00 109.16 90.00
Last column: nearest neighbours and their distance in Å.
Space group C2/m (No. 12)
One atom of each set of equivalent atoms:
Li1 0.0000 0.0000 0.0000 (multiplicity 2)  6 O 2.22-2.38
Li2 0.0000 0.3693 0.0000 (multiplicity 4)  4 O 2.03-2.09
Cd1 0.0000 0.1712 0.5000 (multiplicity 4)  6 O 2.36-2.37
Au1 0.0000 0.5000 0.5000 (multiplicity 2)  6 O 2.05-2.06
O1 0.2194 0.3564 0.7470 (multiplicity 8)  1 Au 2.06, 2 Li 2.09-2.22
O2 0.2279 0.5000 0.2656 (multiplicity 4)  2 Li 2.03, 1 Au 2.05

Output
Its uncorrected energy is -4.47 eV/atom. For the density, the calculation gives 6.4 g/cm3.

=====

[4]
VASP calculation (PBE) on an optimized crystal structure of LiTb2NbO6.

Lattice parameters (Å, degrees): 5.5974 5.5974 15.0406 90.00 90.00 120.00
Last column: nearest neighbours and their distance in Å.
Space group R3 (No. 146, hexagonal axes)
One atom of each set of equivalent atoms:
Li1 0.0000 0.0000 0.0000 (multiplicity 3)  3 O 2.04
Tb1 0.0000 0.0000 0.2464 (multiplicity 3)  6 O 2.23-2.37
Tb2 0.0000 0.0000 0.7442 (multiplicity 3)  6 O 2.31
Nb1 0.0000 0.0000 0.5366 (multiplicity 3)  6 O 1.95-2.13
O1 0.0154 0.7264 0.6320 (multiplicity 9)  1 Li 2.04, 1 Nb 2.13, 1 Tb 2.23
O2 0.0429 0.3418 0.1438 (multiplicity 9)  1 Nb 1.95

Output
Its uncorrected energy is -8.11 eV/atom. For the density, the calculation gives 6.3 g/cm3.

=====

[5]
VASP calculation (PBE) on an optimized crystal structure of La9Er4Th.

Lattice parameters (Å, degrees): 10.1153 10.1153 11.4396 90.00 90.00 120.00
Last column: nearest neighbours and their distance in Å.
Space group P6_3/mmc (No. 194)
One atom of each set of equivalent atoms:
La1 0.0719 0.5359 0.2500 (multiplicity 6)  2 Er 3.43, 1 Th 3.55
La2 0.2073 0.4146 0.5351 (multiplicity 12)  1 Th 3.30, 2 Er 3.65-3.69
Er1 0.0000 0.0000 0.0000 (multiplicity 2)  6 Er 3.43, 6 La 3.65
Er2 0.1086 0.2172 0.2500 (multiplicity 6)  4 Er 3.30-3.43, 2 La 3.43
Th1 0.3333 0.6667 0.7500 (multiplicity 2)  9 La 3.30-3.55

Output
Its uncorrected energy is -4.85 eV/atom. For the formation energy, the calculation gives 2.113 eV/f.u. For the density, the calculation gives 7.0 g/cm3.

=====

[6]
VASP calculation (PBE) on an optimized crystal structure of AgPbS2Cl.

Lattice parameters (Å, degrees): 4.9003 4.9003 4.9690 90.00 90.00 90.00
Last column: nearest neighbours and their distance in Å.
Space group P4/mmm (No. 123)
One atom of each set of equivalent atoms:
Ag1 0.0000 0.0000 0.0000 (multiplicity 1)  4 S 2.45, 2 Cl 2.48
Pb1 0.5000 0.5000 0.5000 (multiplicity 1)  4 Cl 3.47, 8 S 3.49
S1 0.0000 0.5000 0.0000 (multiplicity 2)  2 Ag 2.45
Cl1 0.0000 0.0000 0.5000 (multiplicity 1)  2 Ag 2.48

Output
Its uncorrected energy is -3.31 eV/atom. The calculation puts the polymorph energy (0 for the lowest one) at 0 meV per atom. For the density, the calculation gives 5.8 g/cm3.